Compound: ScGa2TeO
Source: Alexandria via LeMat-Bulk
Functional: PBE
Structure: optimized geometry

The structure in POSCAR format:
```
ScGa2TeO
1.0
5.099 0.000 0.000
0.000 5.099 0.000
0.000 0.000 4.045
Sc Ga Te O
1 2 1 1
Direct
0.000 0.000 0.000
0.000 0.500 0.500
0.500 0.000 0.500
0.500 0.500 0.000
0.000 0.000 0.500
```

Values from the calculation:
- Spin magnetization: 0.000 μB per atom
- ΔE_f (raw): -833 meV/atom

***

Compound: Pm4Sn2Ru
Source: Alexandria via LeMat-Bulk
Functional: PBE
Structure: optimized geometry

The structure in POSCAR format:
```
Pm4Sn2Ru
1.0
5.714 -2.399 0.000
5.714 2.399 0.000
-5.200 0.000 7.291
Pm Sn Ru
4 2 1
Direct
0.068 0.068 0.358
0.333 0.333 0.951
0.667 0.667 0.049
0.932 0.932 0.642
0.336 0.336 0.325
0.664 0.664 0.675
0.000 0.000 0.000
```

Values from the calculation:
- Formation enthalpy at 0 K: -551.7 meV per atom
- Spin magnetization: 0.000 μB per atom

***

Compound: Ni2MoCl
Source: Alexandria via LeMat-Bulk
Functional: PBE
Structure: optimized geometry

The structure in POSCAR format:
```
Ni2MoCl
1.0
2.758 0.000 0.000
0.000 4.329 0.000
0.000 0.000 4.508
Ni Mo Cl
2 1 1
Direct
0.000 0.000 0.000
0.500 0.500 0.000
0.000 0.500 0.500
0.500 0.000 0.500
```

Values from the calculation:
- Spin magnetization: 0.326 μB per atom
- Energy relative to the lowest polymorph listed for this composition: 454 meV/atom
- ΔE_f (raw): 599 meV/atom

***

Compound: Ag2Cl
Source: Alexandria via LeMat-Bulk
Functional: PBE
Structure: optimized geometry

The structure in POSCAR format:
```
Ag2Cl
1.0
-1.938 1.938 18.175
1.938 -1.938 18.175
1.938 1.938 -18.175
Ag Cl
8 4
Direct
0.125 0.375 0.750
0.316 0.566 0.750
0.375 0.125 0.250
0.434 0.684 0.750
0.566 0.316 0.250
0.625 0.875 0.750
0.684 0.434 0.250
0.875 0.625 0.250
0.046 0.796 0.250
0.204 0.954 0.250
0.796 0.046 0.750
0.954 0.204 0.750
```

Values from the calculation:
- Spin magnetization: 0.000 μB per atom
- Energy relative to the lowest polymorph listed for this composition: 89 meV/atom
- ΔE_f (raw): -133 meV/atom

***

Compound: TlCuGe
Source: Alexandria via LeMat-Bulk
Functional: PBE
Structure: optimized geometry

The structure in POSCAR format:
```
TlCuGe
1.0
3.485 -2.009 0.000
3.485 2.009 0.000
-0.001 0.000 9.806
Tl Cu Ge
2 2 2
Direct
0.166 0.166 0.137
0.834 0.834 0.863
0.168 0.166 0.456
0.834 0.832 0.544
0.500 0.499 0.363
0.501 0.500 0.637
```

Values from the calculation:
- Formation enthalpy at 0 K: 134.5 meV per atom
- Spin magnetization: 0.000 μB per atom

***

Compound: Pm6CuRu2I3
Source: Alexandria via LeMat-Bulk
Functional: PBE
Structure: optimized geometry

The structure in POSCAR format:
```
Pm6CuRu2I3
1.0
3.597 -6.227 0.000
3.597 6.227 0.000
-2.396 0.000 8.132
Pm Cu Ru I
6 1 2 3
Direct
0.090 0.438 0.814
0.214 0.214 0.186
0.438 0.090 0.814
0.562 0.910 0.186
0.786 0.786 0.814
0.910 0.562 0.186
0.500 0.500 0.000
0.167 0.833 0.000
0.833 0.167 0.000
0.000 0.000 0.500
0.334 0.666 0.500
0.666 0.334 0.500
```

Values from the calculation:
- Spin magnetization: 0.000 μB per atom
- ΔE_f (raw): -658 meV/atom

***

Compound: Tb7Pr16Sm6
Source: Alexandria via LeMat-Bulk
Functional: PBE
Structure: optimized geometry

The structure in POSCAR format:
```
Tb7Pr16Sm6
1.0
0.000 8.085 8.085
8.085 0.000 8.085
8.085 8.085 0.000
Tb Pr Sm
7 16 6
Direct
0.000 0.000 0.000
0.000 0.000 0.500
0.000 0.500 0.000
0.000 0.500 0.500
0.500 0.000 0.000
0.500 0.000 0.500
0.500 0.500 0.000
0.050 0.650 0.650
0.126 0.126 0.126
0.126 0.126 0.622
0.126 0.622 0.126
0.350 0.350 0.350
0.350 0.350 0.950
0.350 0.950 0.350
0.378 0.874 0.874
0.622 0.126 0.126
0.650 0.050 0.650
0.650 0.650 0.050
0.650 0.650 0.650
0.874 0.378 0.874
0.874 0.874 0.378
0.874 0.874 0.874
0.950 0.350 0.350
0.267 0.267 0.733
0.267 0.733 0.267
0.267 0.733 0.733
0.733 0.267 0.267
0.733 0.267 0.733
0.733 0.733 0.267
```

Values from the calculation:
- Formation enthalpy at 0 K: 200.4 meV per atom
- Spin magnetization: 0.000 μB per atom

***

Compound: Ta2SiHg
Source: Alexandria via LeMat-Bulk
Functional: PBE
Structure: optimized geometry

The structure in POSCAR format:
```
Ta2SiHg
1.0
1.888 -2.282 0.000
1.888 2.282 0.000
0.000 0.000 8.121
Ta Si Hg
2 1 1
Direct
0.000 0.000 0.216
0.000 0.000 0.784
0.500 0.500 0.000
0.500 0.500 0.500
```

Values from the calculation:
- Spin magnetization: 0.000 μB per atom
- ΔE_f (raw): 51 meV/atom

***

Compound: Mg2PbF
Source: Alexandria via LeMat-Bulk
Functional: PBE
Structure: optimized geometry

The structure in POSCAR format:
```
Mg2PbF
1.0
-2.772 2.772 5.947
2.772 -2.772 5.947
2.772 2.772 -5.947
Mg Pb F
4 2 2
Direct
0.375 0.230 0.355
0.770 0.125 0.145
0.875 0.020 0.645
0.980 0.625 0.855
0.250 0.750 0.500
0.500 0.500 0.000
0.000 0.000 0.000
0.750 0.250 0.500
```

Values from the calculation:
- Spin magnetization: 0.000 μB per atom
- Energy relative to the lowest polymorph listed for this composition: 0 meV/atom
- ΔE_f (raw): -1025 meV/atom

***

Compound: MnFeMoPd
Source: Alexandria via LeMat-Bulk
Functional: PBE
Structure: optimized geometry

The structure in POSCAR format:
```
MnFeMoPd
1.0
0.000 3.044 3.044
3.044 0.000 3.044
3.044 3.044 0.000
Mn Fe Mo Pd
1 1 1 1
Direct
0.000 0.000 0.000
0.500 0.500 0.500
0.750 0.750 0.750
0.250 0.250 0.250
```

Values from the calculation:
- Formation enthalpy at 0 K: 117.9 meV per atom
- Spin magnetization: 1.421 μB per atom